Entry 1:
# CeAlRu2 PBE relaxed
# Formation energy ... -0.4960 eV per atom
# Mass density ... 9.05 g/cm³
data_CeAlRu2
_cell_length_a 4.455
_cell_length_b 4.455
_cell_length_c 3.412
_cell_angle_alpha 90.00
_cell_angle_beta 90.00
_cell_angle_gamma 90.00
_symmetry_space_group_name_H-M 'P 1'
_symmetry_Int_Tables_number 1
_symmetry_space_group_name_Hall 'P 1'
loop_
_atom_site_label
_atom_site_type_symbol
_atom_site_fract_x
_atom_site_fract_y
_atom_site_fract_z
Ce1 Ce 0.000 0.000 0.000
Al1 Al 0.500 0.500 0.000
Ru1 Ru 0.000 0.500 0.500
Ru2 Ru 0.500 0.000 0.500

---

Entry 2:
# Ce2AlRu3 PBE relaxed
# Distance to the lowest polymorph of the same formula ... 0 meV per atom
# Formation energy ... -0.5006 eV per atom
# Mass density ... 9.26 g/cm³
data_Ce2AlRu3
_cell_length_a 5.067
_cell_length_b 5.067
_cell_length_c 5.067
_cell_angle_alpha 69.09
_cell_angle_beta 69.09
_cell_angle_gamma 69.09
_symmetry_space_group_name_H-M 'P 1'
_symmetry_Int_Tables_number 1
_symmetry_space_group_name_Hall 'P 1'
loop_
_atom_site_label
_atom_site_type_symbol
_atom_site_fract_x
_atom_site_fract_y
_atom_site_fract_z
Ce1 Ce 0.139 0.139 0.139
Ce2 Ce 0.861 0.861 0.861
Al1 Al 0.500 0.500 0.500
Ru1 Ru 0.000 0.500 0.500
Ru2 Ru 0.500 0.000 0.500
Ru3 Ru 0.500 0.500 0.000

---

Entry 3:
# Ce2AlRu PBE relaxed
# Formation energy ... -0.3365 eV per atom
# Mass density ... 7.51 g/cm³
data_Ce2AlRu
_cell_length_a 5.593
_cell_length_b 5.915
_cell_length_c 12.043
_cell_angle_alpha 90.00
_cell_angle_beta 115.00
_cell_angle_gamma 90.00
_symmetry_space_group_name_H-M 'P 1'
_symmetry_Int_Tables_number 1
_symmetry_space_group_name_Hall 'P 1'
loop_
_atom_site_label
_atom_site_type_symbol
_atom_site_fract_x
_atom_site_fract_y
_atom_site_fract_z
Ce1 Ce 0.019 0.246 0.101
Ce2 Ce 0.019 0.254 0.601
Ce3 Ce 0.341 0.164 0.397
Ce4 Ce 0.341 0.336 0.897
Ce5 Ce 0.659 0.664 0.103
Ce6 Ce 0.659 0.836 0.603
Ce7 Ce 0.981 0.746 0.399
Ce8 Ce 0.981 0.754 0.899
Al1 Al 0.259 0.738 0.707
Al2 Al 0.259 0.762 0.207
Al3 Al 0.741 0.238 0.793
Al4 Al 0.741 0.262 0.293
Ru1 Ru 0.437 0.058 0.104
Ru2 Ru 0.437 0.442 0.604
Ru3 Ru 0.563 0.558 0.396
Ru4 Ru 0.563 0.942 0.896

---

Entry 4:
# CeAl2Ru PBE relaxed
# Formation energy ... -0.4031 eV per atom
# Mass density ... 5.96 g/cm³
data_CeAl2Ru
_cell_length_a 4.256
_cell_length_b 4.256
_cell_length_c 15.723
_cell_angle_alpha 90.00
_cell_angle_beta 90.00
_cell_angle_gamma 120.00
_symmetry_space_group_name_H-M 'P 1'
_symmetry_Int_Tables_number 1
_symmetry_space_group_name_Hall 'P 1'
loop_
_atom_site_label
_atom_site_type_symbol
_atom_site_fract_x
_atom_site_fract_y
_atom_site_fract_z
Ce1 Ce 0.000 0.000 0.000
Ce2 Ce 0.333 0.667 0.667
Ce3 Ce 0.667 0.333 0.333
Al1 Al 0.000 0.000 0.206
Al2 Al 0.000 0.000 0.794
Al3 Al 0.333 0.667 0.460
Al4 Al 0.333 0.667 0.873
Al5 Al 0.667 0.333 0.127
Al6 Al 0.667 0.333 0.540
Ru1 Ru 0.000 0.000 0.500
Ru2 Ru 0.333 0.667 0.167
Ru3 Ru 0.667 0.333 0.833

---

Entry 5:
# Ce2Al3Ru PBE relaxed
# Formation energy ... -0.5255 eV per atom
# Mass density ... 6.49 g/cm³
data_Ce2Al3Ru
_cell_length_a 5.540
_cell_length_b 5.540
_cell_length_c 8.900
_cell_angle_alpha 90.00
_cell_angle_beta 90.00
_cell_angle_gamma 120.00
_symmetry_space_group_name_H-M 'P 1'
_symmetry_Int_Tables_number 1
_symmetry_space_group_name_Hall 'P 1'
loop_
_atom_site_label
_atom_site_type_symbol
_atom_site_fract_x
_atom_site_fract_y
_atom_site_fract_z
Ce1 Ce 0.333 0.667 0.054
Ce2 Ce 0.333 0.667 0.446
Ce3 Ce 0.667 0.333 0.554
Ce4 Ce 0.667 0.333 0.946
Al1 Al 0.162 0.324 0.750
Al2 Al 0.162 0.838 0.750
Al3 Al 0.324 0.162 0.250
Al4 Al 0.676 0.838 0.750
Al5 Al 0.838 0.162 0.250
Al6 Al 0.838 0.676 0.250
Ru1 Ru 0.000 0.000 0.000
Ru2 Ru 0.000 0.000 0.500

---

Entry 6:
# Ce3AlRu3 PBE relaxed
# Formation energy ... -0.2173 eV per atom
# Mass density ... 7.72 g/cm³
data_Ce3AlRu3
_cell_length_a 8.227
_cell_length_b 8.227
_cell_length_c 5.506
_cell_angle_alpha 90.00
_cell_angle_beta 90.00
_cell_angle_gamma 120.00
_symmetry_space_group_name_H-M 'P 1'
_symmetry_Int_Tables_number 1
_symmetry_space_group_name_Hall 'P 1'
loop_
_atom_site_label
_atom_site_type_symbol
_atom_site_fract_x
_atom_site_fract_y
_atom_site_fract_z
Ce1 Ce 0.068 0.733 0.250
Ce2 Ce 0.267 0.335 0.250
Ce3 Ce 0.335 0.068 0.750
Ce4 Ce 0.665 0.932 0.250
Ce5 Ce 0.733 0.665 0.750
Ce6 Ce 0.932 0.267 0.750
Al1 Al 0.333 0.667 0.750
Al2 Al 0.667 0.333 0.250
Ru1 Ru 0.028 0.666 0.750
Ru2 Ru 0.334 0.362 0.750
Ru3 Ru 0.362 0.028 0.250
Ru4 Ru 0.638 0.972 0.750
Ru5 Ru 0.666 0.638 0.250
Ru6 Ru 0.972 0.334 0.250

---

Entry 7:
# CeAl2Ru PBE relaxed
# Formation energy ... -0.5405 eV per atom
# Mass density ... 6.86 g/cm³
data_CeAl2Ru
_cell_length_a 3.082
_cell_length_b 3.082
_cell_length_c 7.518
_cell_angle_alpha 90.00
_cell_angle_beta 90.00
_cell_angle_gamma 90.00
_symmetry_space_group_name_H-M 'P 1'
_symmetry_Int_Tables_number 1
_symmetry_space_group_name_Hall 'P 1'
loop_
_atom_site_label
_atom_site_type_symbol
_atom_site_fract_x
_atom_site_fract_y
_atom_site_fract_z
Ce1 Ce 0.000 0.000 0.000
Al1 Al 0.500 0.500 0.317
Al2 Al 0.500 0.500 0.683
Ru1 Ru 0.000 0.000 0.500

---

Entry 8:
# Ce2Al3Ru PBE relaxed
# Formation energy ... -0.5055 eV per atom
# Mass density ... 6.57 g/cm³
data_Ce2Al3Ru
_cell_length_a 5.487
_cell_length_b 5.487
_cell_length_c 5.487
_cell_angle_alpha 60.01
_cell_angle_beta 60.01
_cell_angle_gamma 60.01
_symmetry_space_group_name_H-M 'P 1'
_symmetry_Int_Tables_number 1
_symmetry_space_group_name_Hall 'P 1'
loop_
_atom_site_label
_atom_site_type_symbol
_atom_site_fract_x
_atom_site_fract_y
_atom_site_fract_z
Ce1 Ce 0.126 0.126 0.126
Ce2 Ce 0.874 0.874 0.874
Al1 Al 0.000 0.500 0.500
Al2 Al 0.500 0.000 0.500
Al3 Al 0.500 0.500 0.000
Ru1 Ru 0.500 0.500 0.500

---

Entry 9:
# Ce2AlRu PBE relaxed
# Formation energy ... -0.3041 eV per atom
# Mass density ... 7.70 g/cm³
data_Ce2AlRu
_cell_length_a 3.690
_cell_length_b 3.690
_cell_length_c 6.464
_cell_angle_alpha 90.00
_cell_angle_beta 90.00
_cell_angle_gamma 90.00
_symmetry_space_group_name_H-M 'P 1'
_symmetry_Int_Tables_number 1
_symmetry_space_group_name_Hall 'P 1'
loop_
_atom_site_label
_atom_site_type_symbol
_atom_site_fract_x
_atom_site_fract_y
_atom_site_fract_z
Ce1 Ce 0.000 0.000 0.222
Ce2 Ce 0.000 0.000 0.778
Al1 Al 0.500 0.500 0.500
Ru1 Ru 0.500 0.500 0.000

---

Entry 10:
# Ce8AlRu6 PBE relaxed
# Formation energy ... -0.3456 eV per atom
# Mass density ... 8.80 g/cm³
data_Ce8AlRu6
_cell_length_a 7.720
_cell_length_b 7.720
_cell_length_c 7.720
_cell_angle_alpha 60.79
_cell_angle_beta 60.79
_cell_angle_gamma 60.79
_symmetry_space_group_name_H-M 'P 1'
_symmetry_Int_Tables_number 1
_symmetry_space_group_name_Hall 'P 1'
loop_
_atom_site_label
_atom_site_type_symbol
_atom_site_fract_x
_atom_site_fract_y
_atom_site_fract_z
Ce1 Ce 0.106 0.698 0.336
Ce2 Ce 0.185 0.185 0.185
Ce3 Ce 0.302 0.664 0.894
Ce4 Ce 0.336 0.106 0.698
Ce5 Ce 0.664 0.894 0.302
Ce6 Ce 0.698 0.336 0.106
Ce7 Ce 0.815 0.815 0.815
Ce8 Ce 0.894 0.302 0.664
Al1 Al 0.500 0.500 0.500
Ru1 Ru 0.127 0.455 0.783
Ru2 Ru 0.217 0.873 0.545
Ru3 Ru 0.455 0.783 0.127
Ru4 Ru 0.545 0.217 0.873
Ru5 Ru 0.783 0.127 0.455
Ru6 Ru 0.873 0.545 0.217

---

Question: formation energy of number 10 (Ce8AlRu6)?
Answer: -0.3456 eV per atom

---

Question: Among the records above, which one has the highest formation energy?
Answer: Ce3AlRu3

---

Question: Among the records above, which one has the highest formation energy?
Answer: Ce3AlRu3

---

Question: What is the formula in the third record?
Answer: Ce2AlRu